LiLaYGe: optimized geometry, GGA-PBE.

Output
size of the total moment = 0.00 Bohr magnetons per cell
space-group type = No. 216
uncorrected energy = -4.908 eV/atom

Geometry as POSCAR:
```
LiLaYGe
1.0
5.182 0.000 0.000
2.591 4.488 0.000
2.591 1.496 4.231
La Ge Li Y
1 1 1 1
direct
0.000 0.000 0.000
0.250 0.250 0.250
0.750 0.750 0.750
0.500 0.500 0.500
```


SrMgTaBe2: optimized geometry, GGA-PBE.

Output
size of the total moment = 1.94 Bohr magnetons per cell
space-group type = No. 123
uncorrected energy = -2.805 eV/atom

Geometry as POSCAR:
```
SrMgTaBe2
1.0
-2.969 1.404 -3.207
-2.218 -4.734 -0.019
-2.909 1.350 3.284
Mg Sr Be Ta
1 1 2 1
direct
0.000 0.000 0.000
0.000 0.500 0.000
0.000 0.000 0.500
0.500 0.000 0.000
0.500 0.500 0.500
```


NdThTcNi: optimized geometry, GGA-PBE.

Output
size of the total moment = 0.00 Bohr magnetons per cell
space-group type = No. 216
uncorrected energy = -7.159 eV/atom

Geometry as POSCAR:
```
NdThTcNi
1.0
4.984 0.000 0.000
2.492 4.316 0.000
2.492 1.439 4.070
Ni Tc Th Nd
1 1 1 1
direct
0.750 0.750 0.750
0.250 0.250 0.250
0.500 0.500 0.500
0.000 0.000 0.000
```


Cs4InCl6: optimized geometry, GGA-PBE.

Output
size of the total moment = 1.60 Bohr magnetons per cell
space-group type = No. 128
uncorrected energy = -3.231 eV/atom
ΔE_f (raw) = -1.6648 eV/atom

Geometry as POSCAR:
```
Cs4InCl6
1.0
9.479 0.000 0.000
0.000 9.479 0.000
0.000 0.000 9.876
Cl Cs In
12 8 2
direct
0.710 0.093 0.500
0.000 0.000 0.778
0.907 0.710 0.500
0.000 0.000 0.222
0.210 0.407 0.000
0.790 0.593 0.000
0.407 0.790 0.000
0.500 0.500 0.278
0.500 0.500 0.722
0.290 0.907 0.500
0.093 0.290 0.500
0.593 0.210 0.000
0.670 0.830 0.750
0.330 0.170 0.750
0.170 0.670 0.250
0.330 0.170 0.250
0.830 0.330 0.750
0.170 0.670 0.750
0.830 0.330 0.250
0.670 0.830 0.250
0.000 0.000 0.500
0.500 0.500 0.000
```